CsCd4Bi2 | GGA-PBE | optimized geometry

Calculated values
crystal system: tetragonal
energy: -1.300 eV/atom
energy above the most stable polymorph in this dataset: 554.9 meV/atom
total magnetization: 0.000 μB/atom
formation energy: 453 meV/atom

a = 6.279 Å, b = 6.279 Å, c = 9.729 Å
α = 71.17°, β = 71.17°, γ = 90.00°
Sites, in units of the cell vectors:
1 Cs 0.000 0.000 0.000
2 Bi 0.589 0.589 0.823
3 Bi 0.411 0.411 0.177
4 Cd 0.776 0.776 0.449
5 Cd 0.224 0.224 0.551
6 Cd 0.000 0.500 0.000
7 Cd 0.500 0.000 0.000